A plane-wave DFT calculation with PBE-GGA was carried out for an optimized crystal structure of ScCdIn2Pd4.

Unit cell a=7.991 b=7.991 c=7.991 alpha=33.95 beta=33.95 gamma=33.95
Element x y z (fractional)
Sc: 0.000 0.000 0.000
Cd: 0.500 0.500 0.500
In: 0.250 0.250 0.250
In: 0.750 0.750 0.750
Pd: 0.122 0.122 0.122
Pd: 0.374 0.374 0.374
Pd: 0.626 0.626 0.626
Pd: 0.878 0.878 0.878

Values from the calculation:
As for the space-group type: R-3m. For the density, the calculation gives 9.51 g cm⁻³. Its formation energy is -0.651 eV/atom.

A plane-wave DFT calculation with PBE-GGA was carried out for an optimized crystal structure of Pr2SmEr9.

Unit cell a=11.243 b=11.243 c=3.502 alpha=90.00 beta=90.00 gamma=120.00
Element x y z (fractional)
Pr: 0.333 0.667 0.000
Pr: 0.667 0.333 0.000
Sm: 0.000 0.000 0.000
Er: 0.000 0.500 0.000
Er: 0.175 0.349 0.500
Er: 0.175 0.825 0.500
Er: 0.349 0.175 0.500
Er: 0.500 0.000 0.000
Er: 0.500 0.500 0.000
Er: 0.651 0.825 0.500
Er: 0.825 0.175 0.500
Er: 0.825 0.651 0.500

Values from the calculation:
As for the energy above the lowest structure with this stoichiometry: 46 meV per atom. As for the space-group type: P6/mmm. For the density, the calculation gives 8.39 g cm⁻³. Its formation energy is 0.072 eV/atom.

A plane-wave DFT calculation with PBE-GGA was carried out for an optimized crystal structure of ZrW4.

Unit cell a=5.140 b=5.140 c=5.140 alpha=109.47 beta=109.47 gamma=109.47
Element x y z (fractional)
Zr: 0.000 0.000 0.000
W: 0.000 0.000 0.500
W: 0.000 0.500 0.000
W: 0.500 0.000 0.000
W: 0.500 0.500 0.500

Values from the calculation:
As for the energy above the lowest structure with this stoichiometry: 2134 meV per atom. As for the space-group type: Im-3m. For the density, the calculation gives 13.13 g cm⁻³. Its formation energy is 2.178 eV/atom.

A plane-wave DFT calculation with PBE-GGA was carried out for an optimized crystal structure of UTl2S2Cl2.

Unit cell a=8.940 b=8.940 c=8.940 alpha=145.41 beta=145.41 gamma=49.72
Element x y z (fractional)
U: 0.000 0.000 0.000
Tl: 0.375 0.375 0.000
Tl: 0.625 0.625 0.000
S: 0.000 0.500 0.500
S: 0.500 0.000 0.500
Cl: 0.164 0.164 0.000
Cl: 0.836 0.836 0.000

Values from the calculation:
As for the space-group type: I4/mmm. For the density, the calculation gives 5.66 g cm⁻³. For the uncorrected formation energy, the calculation gives -1.135 eV per atom.

What did the third record say?
A plane-wave DFT calculation with PBE-GGA was carried out for an optimized crystal structure of ZrW4.

Unit cell a=5.140 b=5.140 c=5.140 alpha=109.47 beta=109.47 gamma=109.47
Element x y z (fractional)
Zr: 0.000 0.000 0.000
W: 0.000 0.000 0.500
W: 0.000 0.500 0.000
W: 0.500 0.000 0.000
W: 0.500 0.500 0.500

Values from the calculation:
As for the energy above the lowest structure with this stoichiometry: 2134 meV per atom. As for the space-group type: Im-3m. For the density, the calculation gives 13.13 g cm⁻³. Its formation energy is 2.178 eV/atom.

Which formula does entry 4 have? UTl2S2Cl2